1.
Below is a relaxed structure of PrNdPuIn, with properties calculated at the PBE level. Values from VASP.

DOS(E_F)	17.0	states/eV per cell
energy relative to the elements	-63	meV per atom
symmetry	No. 216

```
&SYSTEM
  ibrav = 0, nat = 4, ntyp = 4
/
ATOMIC_SPECIES
Pr 140.91 Pr.upf
Nd 144.24 Nd.upf
Pu 244.00 Pu.upf
In 114.82 In.upf
CELL_PARAMETERS angstrom
0.0000 3.9219 3.9219
3.9219 0.0000 3.9219
3.9219 3.9219 0.0000
ATOMIC_POSITIONS angstrom
Pr 0.0000 0.0000 0.0000
Nd 3.9219 3.9219 3.9219
Pu 1.9610 1.9610 1.9610
In 5.8829 5.8829 5.8829
```



2.
Below is a relaxed structure of AlSeBr4, with properties calculated at the PBE level. Values from VASP.

DOS(E_F)	7.4	states/eV per cell
formation energy (no corrections)	712	meV/atom
symmetry	No. 216

```
&SYSTEM
  ibrav = 0, nat = 6, ntyp = 3
/
ATOMIC_SPECIES
Al 26.98 Al.upf
Se 78.96 Se.upf
Br 79.90 Br.upf
CELL_PARAMETERS angstrom
0.0000 4.4821 4.4821
4.4821 0.0000 4.4821
4.4821 4.4821 0.0000
ATOMIC_POSITIONS angstrom
Al 0.0000 0.0000 0.0000
Se 2.2410 2.2410 2.2410
Br 5.6014 3.3628 3.3628
Br 3.3628 5.6014 3.3628
Br 3.3628 3.3628 5.6014
Br 5.6014 5.6014 5.6014
```



3.
Below is a relaxed structure of RbV, with properties calculated at the PBE level. Values from VASP.

DOS(E_F)	4.5	states/eV per cell
energy relative to the elements	1031	meV per atom
symmetry	No. 65

```
&SYSTEM
  ibrav = 0, nat = 6, ntyp = 2
/
ATOMIC_SPECIES
Rb 85.47 Rb.upf
V 50.94 V.upf
CELL_PARAMETERS angstrom
3.9146 -7.6434 0.0000
3.9146 7.6434 0.0000
0.0000 0.0000 4.1003
ATOMIC_POSITIONS angstrom
Rb 0.0000 0.0000 0.0000
Rb 1.9573 3.8217 2.0502
Rb 1.9573 -3.8217 2.0502
V 3.9146 1.0811 0.0000
V 3.9146 0.0000 2.0502
V 3.9146 -1.0811 0.0000
```



4.
Below is a relaxed structure of Ba2GaHg, with properties calculated at the PBE level. Values from VASP.

DOS(E_F)	5.6	states/eV per cell
energy relative to the elements	350	meV per atom
symmetry	No. 71

```
&SYSTEM
  ibrav = 0, nat = 4, ntyp = 3
/
ATOMIC_SPECIES
Ba 137.33 Ba.upf
Ga 69.72 Ga.upf
Hg 200.59 Hg.upf
CELL_PARAMETERS angstrom
-1.9404 3.3932 6.7798
1.9404 -3.3932 6.7798
1.9404 3.3932 -6.7798
ATOMIC_POSITIONS angstrom
Ba 0.0000 0.0000 3.3394
Ba 0.0000 0.0000 10.2202
Ga 0.0000 0.0000 6.7798
Hg 0.0000 0.0000 0.0000
```



5.
Below is a relaxed structure of Sr3Cd4Au4, with properties calculated at the PBE level. Values from VASP.

DOS(E_F)	4.6	states/eV per cell
energy relative to the elements	-570	meV per atom
symmetry	No. 71

```
&SYSTEM
  ibrav = 0, nat = 11, ntyp = 3
/
ATOMIC_SPECIES
Sr 87.62 Sr.upf
Cd 112.41 Cd.upf
Au 196.97 Au.upf
CELL_PARAMETERS angstrom
-2.2759 4.0586 7.7653
2.2759 -4.0586 7.7653
2.2759 4.0586 -7.7653
ATOMIC_POSITIONS angstrom
Sr 0.0000 0.0000 0.0000
Sr 2.2759 0.0000 5.8231
Sr 0.0000 4.0586 1.9422
Cd 2.2759 1.5735 -2.6671
Cd 2.2759 1.5735 2.6671
Cd 0.0000 2.4850 5.0982
Cd 0.0000 2.4850 10.4323
Au 0.0000 0.0000 3.4524
Au 2.2759 2.5658 0.0000
Au 0.0000 1.4928 7.7653
Au 0.0000 0.0000 12.0781
```



6.
Below is a relaxed structure of SmEr2Pd, with properties calculated at the PBE level. Values from VASP.

DOS(E_F)	8.8	states/eV per cell
energy relative to the elements	-456	meV per atom
symmetry	No. 11

```
&SYSTEM
  ibrav = 0, nat = 8, ntyp = 3
/
ATOMIC_SPECIES
Sm 150.36 Sm.upf
Er 167.26 Er.upf
Pd 106.42 Pd.upf
CELL_PARAMETERS angstrom
3.7423 0.0000 0.0000
0.0000 9.2221 0.0000
-1.8644 0.0000 6.2572
ATOMIC_POSITIONS angstrom
Sm -0.0016 2.3055 0.7390
Sm 1.8795 6.9166 5.5182
Er 0.0071 0.5492 4.5467
Er 0.0071 4.0618 4.5467
Er 1.8709 5.1603 1.7105
Er 1.8709 8.6729 1.7105
Pd 0.0010 6.9166 2.9836
Pd 1.8769 2.3055 3.2736
```